1.
# CsLiSnHg2 GGA-PBE relaxed
data_CsLiSnHg2
_chemical_formula_sum 'Cs1 Li1 Sn1 Hg2'
_symmetry_space_group_name_H-M 'P 4/m m m'
_symmetry_Int_Tables_number 123
_symmetry_space_group_name_Hall '-P 4 2'
_cell_length_a 5.535
_cell_length_b 5.535
_cell_length_c 5.295
_cell_angle_alpha 90.00
_cell_angle_beta 90.00
_cell_angle_gamma 90.00
loop_
_atom_site_label
_atom_site_fract_x
_atom_site_fract_y
_atom_site_fract_z
_atom_site_occupancy
Cs1 0.000 0.000 0.000 1
Li1 0.500 0.500 0.500 1
Sn1 0.500 0.500 0.000 1
Hg1 0.000 0.500 0.500 1
# Calculated density = 6.75 g/cm3
# Total magnetic moment = 0.00 Bohr magnetons per cell
# Energy relative to the lowest polymorph listed for this composition = 61.7 meV/atom
# Calculated formation energy = -0.42 eV per formula unit


2.
# LiCa3In GGA-PBE relaxed
data_LiCa3In
_chemical_formula_sum 'Li4 Ca12 In4'
_symmetry_space_group_name_H-M 'C m c m'
_symmetry_Int_Tables_number 63
_symmetry_space_group_name_Hall '-C 2c 2'
_cell_length_a 5.486
_cell_length_b 20.904
_cell_length_c 5.495
_cell_angle_alpha 90.00
_cell_angle_beta 90.00
_cell_angle_gamma 90.00
loop_
_atom_site_label
_atom_site_fract_x
_atom_site_fract_y
_atom_site_fract_z
_atom_site_occupancy
Li1 0.000 0.159 0.250 1
Ca1 0.000 0.069 0.750 1
Ca2 0.000 0.251 0.750 1
Ca3 0.000 0.432 0.750 1
In1 0.000 0.342 0.250 1
# Calculated density = 2.55 g/cm3
# Total magnetic moment = 0.00 Bohr magnetons per cell
# Energy relative to the lowest polymorph listed for this composition = 0.0 meV/atom
# Calculated formation energy = -1.17 eV per formula unit


| no. | DOS(E_F) (states/eV per atom) |
| --- | --- |
| 1 | 0.520 |
| 2 | 0.746 |